Entry 1:
The following is a PBE calculation of Sc2FeSb after structural relaxation, from Alexandria.

abc: 3.235 3.235 7.599
angles: 90.00 90.00 90.00
Each line ends with the local moment (μB).
Atoms (fractional coordinates):
Fe  0.000  0.000  0.523  1.10
Sc  0.500  0.500  0.305  -0.10
Sc  0.000  0.000  0.974  0.24
Sb  0.500  0.500  0.698  -0.04

Values from the calculation:
* density: 5.585 g cm⁻³
* D(E_F): 4.363 states/eV/cell
* formation energy from raw total energies: -0.118 eV per atom

=====

Entry 2:
The following is a PBE calculation of Pr2InPd5 after structural relaxation, from Alexandria.

abc: 6.454 6.454 6.057
angles: 122.19 122.19 90.00
Atoms (fractional coordinates):
Pd  0.746  0.746  0.492
Pd  0.702  0.270  0.972
Pd  0.702  0.702  0.972
Pd  0.270  0.702  0.972
Pd  0.270  0.270  0.972
Pr  0.247  0.747  0.493
Pr  0.747  0.247  0.493
In  0.093  0.093  0.187

Values from the calculation:
* density: 9.297 g cm⁻³
* D(E_F): 3.909 states/eV/cell
* DFT formation energy: -15.2 kcal/mol of atoms

=====

Entry 3:
The following is a PBE calculation of BaCaAg2 after structural relaxation, from Alexandria.

abc: 5.575 5.575 5.575
angles: 60.00 60.00 60.00
Atoms (fractional coordinates):
Ca  0.000  0.000  0.000
Ba  0.500  0.500  0.500
Ag  0.750  0.750  0.750
Ag  0.250  0.250  0.250

Values from the calculation:
* density: 5.329 g cm⁻³
* energy relative to the lowest polymorph listed for this composition: 0.148 eV per formula unit
* D(E_F): 3.405 states/eV/cell
* DFT formation energy: -5.3 kcal/mol of atoms